Entry 1:
# Cr4TeSe SCAN single point on PBEsol structure
# raw total energy = -506.549 eV for the cell shown
data_Cr4TeSe
_chemical_formula_sum 'Cr16 Te4 Se4'
_cell_length_a 6.927
_cell_length_b 6.927
_cell_length_c 6.927
_cell_angle_alpha 90.00
_cell_angle_beta 90.00
_cell_angle_gamma 90.00
_symmetry_space_group_name_H-M 'F -4 3 m'
_symmetry_Int_Tables_number 216
_symmetry_space_group_name_Hall 'F -4 2 3'
loop_
_atom_site_label
_atom_site_type_symbol
_atom_site_fract_x
_atom_site_fract_y
_atom_site_fract_z
Cr1 Cr 0.123 0.123 0.123
Te1 Te 0.000 0.000 0.500
Se1 Se 0.250 0.250 0.750

Entry 2:
# CrTeSe2 SCAN single point on PBEsol structure
# raw total energy = -95.796 eV for the cell shown
data_CrTeSe2
_chemical_formula_sum 'Cr1 Te1 Se2'
_cell_length_a 3.779
_cell_length_b 3.791
_cell_length_c 7.147
_cell_angle_alpha 90.00
_cell_angle_beta 90.00
_cell_angle_gamma 90.00
_symmetry_space_group_name_H-M 'P m m m'
_symmetry_Int_Tables_number 47
loop_
_symmetry_equiv_pos_as_xyz
'x,y,z'
'-x,-y,-z'
'-x,-y,z'
'x,y,-z'
'x,-y,-z'
'-x,y,z'
'-x,y,-z'
'x,-y,z'
loop_
_atom_site_label
_atom_site_type_symbol
_atom_site_fract_x
_atom_site_fract_y
_atom_site_fract_z
Cr1 Cr 0.000 0.000 0.000
Te1 Te 0.000 0.500 0.500
Se1 Se 0.500 0.000 0.500
Se2 Se 0.500 0.500 0.000

Entry 3:
# Cr3Te2Se2 SCAN single point on PBEsol structure
# raw total energy = -348.942 eV for the cell shown
data_Cr3Te2Se2
_chemical_formula_sum 'Cr6 Te4 Se4'
_cell_length_a 13.383
_cell_length_b 3.817
_cell_length_c 6.539
_cell_angle_alpha 90.00
_cell_angle_beta 117.56
_cell_angle_gamma 90.00
_symmetry_space_group_name_H-M 'C 1 2/m 1'
_symmetry_Int_Tables_number 12
loop_
_symmetry_equiv_pos_as_xyz
'x,y,z'
'-x,-y,-z'
'-x,y,-z'
'x,-y,z'
'x+1/2,y+1/2,z'
'-x+1/2,-y+1/2,-z'
'-x+1/2,y+1/2,-z'
'x+1/2,-y+1/2,z'
loop_
_atom_site_label
_atom_site_type_symbol
_atom_site_fract_x
_atom_site_fract_y
_atom_site_fract_z
Cr1 Cr 0.000 0.000 0.000
Cr2 Cr 0.239 0.500 0.776
Te1 Te 0.130 0.500 0.302
Se1 Se 0.125 0.000 0.804

Entry 4:
# CrTe2Se SCAN single point on PBEsol structure
# raw total energy = -227.267 eV for the cell shown
data_CrTe2Se
_chemical_formula_sum 'Cr2 Te4 Se2'
_cell_length_a 8.903
_cell_length_b 3.584
_cell_length_c 6.133
_cell_angle_alpha 90.00
_cell_angle_beta 104.65
_cell_angle_gamma 90.00
_symmetry_space_group_name_H-M 'C 1 m 1'
_symmetry_Int_Tables_number 8
loop_
_symmetry_equiv_pos_as_xyz
'x,y,z'
'x,-y,z'
'x+1/2,y+1/2,z'
'x+1/2,-y+1/2,z'
loop_
_atom_site_label
_atom_site_type_symbol
_atom_site_fract_x
_atom_site_fract_y
_atom_site_fract_z
Cr1 Cr 0.000 0.000 0.000
Te1 Te 0.050 0.500 0.342
Te2 Te 0.360 0.000 0.681
Se1 Se 0.210 0.500 0.007

Summary of energy relative to the elements, uncorrected in kJ/mol of formula units
408 0 -449 -64
(order as listed above)